Entry 1:
Computed, not measured: crystalline PrMgZnPt2 at its relaxed geometry at the GGA-PBE level of DFT.

Lattice parameters (Å, degrees): 4.0283 4.0283 6.8562 107.08 107.08 90.00
With the nearest neighbours (Å) after each atom.
Sites, in units of the cell vectors:
Mg 0.7500 0.2500 0.5000  4 Pt 2.66, 4 Zn 2.85
Pt 0.6102 0.6102 0.2205  2 Mg 2.66, 2 Zn 2.66, 1 Pt 2.75
Pt 0.3898 0.3898 0.7795  2 Mg 2.66, 2 Zn 2.66, 1 Pt 2.75
Zn 0.2500 0.7500 0.5000  4 Pt 2.66, 4 Mg 2.85
Pr 0.0000 0.0000 0.0000  8 Pt 3.16

M_tot in μB/cell: 0.00
Mass density in g/cm³: 10.19
D(E_F) in states/eV/atom: 0.395
ΔH_f (0 K) in eV/f.u.: -4.301
E_tot in eV/cell: -24.03
Space-group type: I-4m2 (119)



Entry 2:
Computed, not measured: crystalline PrMgZnPt at its relaxed geometry at the GGA-PBE level of DFT.

Lattice parameters (Å, degrees): 4.9232 4.9232 4.9232 60.00 60.00 60.00
With the nearest neighbours (Å) after each atom.
Sites, in units of the cell vectors:
Zn 0.2500 0.2500 0.2500  4 Mg 3.01, 4 Pr 3.01
Pr 0.0000 0.0000 0.0000  4 Zn 3.01, 4 Pt 3.01
Mg 0.5000 0.5000 0.5000  4 Pt 3.01, 4 Zn 3.01
Pt 0.7500 0.7500 0.7500  4 Pr 3.01, 4 Mg 3.01

M_tot in μB/cell: 0.00
Mass density in g/cm³: 8.38
D(E_F) in states/eV/atom: 0.438
ΔH_f (0 K) in eV/f.u.: -2.436
E_tot in eV/cell: -16.13
Space-group type: F-43m (216)



Entry 3:
Computed, not measured: crystalline PrMgZn2Pt at its relaxed geometry at the GGA-PBE level of DFT.

Lattice parameters (Å, degrees): 3.9414 4.2342 6.8210 108.08 106.79 90.00
With the nearest neighbours (Å) after each atom.
Sites, in units of the cell vectors:
Pr 0.4321 0.4321 0.8641  4 Pt 3.11, 4 Zn 3.24
Pt 0.8399 0.8399 0.6797  3 Zn 2.60-2.74, 2 Mg 2.69
Mg 0.1916 0.6916 0.3831  2 Pt 2.69, 6 Zn 2.75-2.89
Zn 0.6986 0.1986 0.3972  2 Zn 2.69, 2 Pt 2.74, 4 Mg 2.89
Zn 0.0500 0.0500 0.1001  1 Pt 2.60, 2 Zn 2.69, 2 Mg 2.75

M_tot in μB/cell: 0.00
Mass density in g/cm³: 7.91
D(E_F) in states/eV/atom: 0.627
ΔH_f (0 K) in eV/f.u.: -2.884
E_tot in eV/cell: -17.85
Space-group type: Imm2 (44)



Entry 4:
Computed, not measured: crystalline PrMgZnPt3 at its relaxed geometry at the GGA-PBE level of DFT.

Lattice parameters (Å, degrees): 5.7129 6.7708 7.1082 118.44 90.00 90.00
With the nearest neighbours (Å) after each atom.
Sites, in units of the cell vectors:
Zn 0.2500 0.3616 0.7231  5 Pt 2.51-2.63
Zn 0.7500 0.6384 0.2769  5 Pt 2.51-2.63
Pt 0.0000 0.2965 0.0000  2 Mg 2.57, 2 Zn 2.63, 3 Pt 2.76-2.86
Pt 0.5000 0.2965 0.0000  2 Mg 2.57, 2 Zn 2.63, 3 Pt 2.76-2.86
Pt 0.7500 0.8392 0.6784  1 Zn 2.51, 1 Mg 2.75
Pt 0.2500 0.1608 0.3216  1 Zn 2.51, 1 Mg 2.75
Pt 0.5000 0.7035 0.0000  2 Mg 2.57, 2 Zn 2.63, 3 Pt 2.76-2.86
Pt 0.0000 0.7035 0.0000  2 Mg 2.57, 2 Zn 2.63, 3 Pt 2.76-2.86
Mg 0.2500 0.9412 0.8824  5 Pt 2.57-2.75
Mg 0.7500 0.0588 0.1176  5 Pt 2.57-2.75
Pr 0.7500 0.3110 0.6220  2 Zn 2.93, 4 Pt 3.09, 1 Mg 3.15
Pr 0.2500 0.6890 0.3780  2 Zn 2.93, 4 Pt 3.09, 1 Mg 3.15

M_tot in μB/cell: 0.00
Mass density in g/cm³: 11.21
D(E_F) in states/eV/atom: 0.597
ΔH_f (0 K) in eV/f.u.: -3.338
E_tot in eV/cell: -58.22
Space-group type: Cmcm (63)



Entry 5:
Computed, not measured: crystalline Pr2MgZn2Pt5 at its relaxed geometry at the GGA-PBE level of DFT.

Lattice parameters (Å, degrees): 3.8532 9.8534 9.8534 90.00 90.00 90.00
With the nearest neighbours (Å) after each atom.
Sites, in units of the cell vectors:
Pt 0.5000 0.5000 0.0000  4 Zn 2.55
Pt 0.5000 0.7936 0.9365  2 Zn 2.64, 2 Mg 2.87
Pt 0.5000 0.0000 0.5000  4 Zn 2.55
Pt 0.5000 0.4365 0.2936  2 Zn 2.64, 2 Mg 2.87
Pt 0.5000 0.7064 0.4365  2 Zn 2.64, 2 Mg 2.87
Pt 0.5000 0.2936 0.5635  2 Zn 2.64, 2 Mg 2.87
Pt 0.5000 0.0635 0.7936  2 Zn 2.64, 2 Mg 2.87
Pt 0.5000 0.2064 0.0635  2 Zn 2.64, 2 Mg 2.87
Pt 0.5000 0.5635 0.7064  2 Zn 2.64, 2 Mg 2.87
Pt 0.5000 0.9365 0.2064  2 Zn 2.64, 2 Mg 2.87
Pr 0.0000 0.8222 0.6778  3 Zn 2.82-2.99, 2 Pt 3.14
Pr 0.0000 0.3222 0.8222  3 Zn 2.82-2.99, 2 Pt 3.14
Pr 0.0000 0.6778 0.1778  3 Zn 2.82-2.99, 2 Pt 3.14
Pr 0.0000 0.1778 0.3222  3 Zn 2.82-2.99, 2 Pt 3.14
Zn 0.0000 0.3801 0.1199  6 Pt 2.55-2.64, 1 Pr 2.82
Zn 0.0000 0.6199 0.8801  6 Pt 2.55-2.64, 1 Pr 2.82
Zn 0.0000 0.8801 0.3801  6 Pt 2.55-2.64, 1 Pr 2.82
Zn 0.0000 0.1199 0.6199  6 Pt 2.55-2.64, 1 Pr 2.82
Mg 0.0000 0.0000 0.0000  8 Pt 2.87
Mg 0.0000 0.5000 0.5000  8 Pt 2.87

M_tot in μB/cell: 0.00
Mass density in g/cm³: 12.54
D(E_F) in states/eV/atom: 0.478
ΔH_f (0 K) in eV/f.u.: -7.919
E_tot in eV/cell: -103.65
Space-group type: P4/mbm (127)



Entry 6:
Computed, not measured: crystalline PrPu4Mg at its relaxed geometry at the GGA-PBE level of DFT.

Lattice parameters (Å, degrees): 6.1938 6.1938 6.1938 60.00 60.00 60.00
With the nearest neighbours (Å) after each atom.
Sites, in units of the cell vectors:
Pr 0.0000 0.0000 0.0000  12 Pu 3.63, 4 Mg 3.79
Pu 0.6243 0.1271 0.6243  6 Pu 3.08-3.11
Pu 0.6243 0.6243 0.1271  6 Pu 3.08-3.11
Pu 0.6243 0.6243 0.6243  6 Pu 3.08-3.11
Pu 0.1271 0.6243 0.6243  6 Pu 3.08-3.11
Mg 0.2500 0.2500 0.2500  12 Pu 3.63, 4 Pr 3.79

M_tot in μB/cell: 23.35
Mass density in g/cm³: 11.28
D(E_F) in states/eV/atom: 4.429
ΔH_f (0 K) in eV/f.u.: 1.839
E_tot in eV/cell: -61.86
Space-group type: F-43m (216)